(1)
## CrSeIN2 (PBEsol)

Data for a geometry-optimized CrSeIN2 structure.

Unit cell a=3.8255 b=3.8255 c=5.4176 alpha=90.00 beta=90.00 gamma=90.00
Closest atoms and distances in Å follow each position.
Fractional positions:
N 0.5000 0.0000 0.0000  2 Cr 1.91
N 0.0000 0.5000 0.0000  2 Cr 1.91
Cr 0.0000 0.0000 0.0000  4 N 1.91
Se 0.0000 0.0000 0.5000  4 I 2.71, 2 Cr 2.71
I 0.5000 0.5000 0.5000  4 Se 2.71

Calculated values
ΔE_f (raw) in eV per atom: 0.656
SG: P4/mmm

=====

(2)
## MgZrPb2 (PBEsol)

Data for a geometry-optimized MgZrPb2 structure.

Unit cell a=3.3340 b=5.3480 c=5.3480 alpha=90.00 beta=90.00 gamma=90.00
Closest atoms and distances in Å follow each position.
Fractional positions:
Pb 0.0000 0.0000 0.5000  4 Zr 3.15, 4 Mg 3.15, 2 Pb 3.33
Pb 0.0000 0.5000 0.0000  4 Zr 3.15, 4 Mg 3.15, 2 Pb 3.33
Zr 0.5000 0.5000 0.5000  8 Pb 3.15, 2 Zr 3.33
Mg 0.5000 0.0000 0.0000  8 Pb 3.15, 2 Mg 3.33

Calculated values
E_form in meV per atom: -103.5
SG: P4/mmm

=====

(3)
## Ba2P7Br (PBEsol)

Data for a geometry-optimized Ba2P7Br structure.

Unit cell a=6.2566 b=6.7913 c=11.8212 alpha=90.00 beta=95.87 gamma=90.00
Closest atoms and distances in Å follow each position.
Fractional positions:
Ba 0.2883 0.2500 0.9536  4 Br 3.32-3.67, 7 P 3.33-3.44
Ba 0.7117 0.7500 0.0464  4 Br 3.32-3.67, 7 P 3.33-3.44
Ba 0.0665 0.2500 0.3526  8 P 3.28-3.50, 1 Br 3.32
Ba 0.9335 0.7500 0.6474  8 P 3.28-3.50, 1 Br 3.32
P 0.6262 0.4983 0.8042  2 P 2.14-2.17
P 0.8344 0.2500 0.7781  3 P 2.17-2.18
P 0.6439 0.9222 0.3139  3 P 2.14-2.34
P 0.3561 0.0778 0.6861  3 P 2.14-2.34
P 0.5059 0.7500 0.4503  3 P 2.15-2.24
P 0.3738 0.9983 0.1958  2 P 2.14-2.17
P 0.3561 0.4222 0.6861  3 P 2.14-2.34
P 0.1656 0.7500 0.2219  3 P 2.17-2.18
P 0.3738 0.5017 0.1958  2 P 2.14-2.17
P 0.4941 0.2500 0.5497  3 P 2.15-2.24
P 0.6439 0.5778 0.3139  3 P 2.14-2.34
P 0.6262 0.0017 0.8042  2 P 2.14-2.17
P 0.8365 0.2500 0.5936  2 P 2.15-2.18
P 0.1635 0.7500 0.4064  2 P 2.15-2.18
Br 0.1554 0.7500 0.9145  5 Ba 3.32-3.67, 1 P 3.63
Br 0.8446 0.2500 0.0855  5 Ba 3.32-3.67, 1 P 3.63

Calculated values
ΔE_f (raw) in eV per atom: -0.767
SG: P2_1/m

=====

(4)
## KLi3Pd (PBEsol)

Data for a geometry-optimized KLi3Pd structure.

Unit cell a=4.9854 b=4.9854 c=4.9854 alpha=90.00 beta=90.00 gamma=90.00
Closest atoms and distances in Å follow each position.
Fractional positions:
Li 0.5000 0.0000 0.0000  2 Pd 2.49
Li 0.0000 0.5000 0.0000  2 Pd 2.49
Li 0.0000 0.0000 0.5000  2 Pd 2.49
K 0.5000 0.5000 0.5000  12 Li 3.53
Pd 0.0000 0.0000 0.0000  6 Li 2.49

Calculated values
Distance to the lowest polymorph of the same formula in meV per atom: 0
E_form in meV per atom: -25.1
SG: Pm-3m